1.
The following is a PBE calculation of an optimized crystal structure of Ac2MgGa12Co3, from the Alexandria database.

calculated formation energy: -0.03 eV per atom
uncorrected energy: -3.78 eV/atom
symmetry: R-3m (166)
total moment: 0.000 μB/atom
DOS at the Fermi energy: 0.39 states/eV/atom

Unit cell a=8.1020 b=8.1020 c=8.1020 alpha=65.82 beta=65.82 gamma=65.82
Fractional coordinates of all 18 atoms:
Ac 0.6001 0.6001 0.6001
Ac 0.3999 0.3999 0.3999
Mg 0.0000 0.0000 0.0000
Ga 0.2775 0.2775 0.9321
Ga 0.8712 0.8712 0.3898
Ga 0.3898 0.8712 0.8712
Ga 0.9321 0.2775 0.2775
Ga 0.8712 0.3898 0.8712
Ga 0.2775 0.9321 0.2775
Ga 0.7225 0.7225 0.0679
Ga 0.1288 0.1288 0.6102
Ga 0.6102 0.1288 0.1288
Ga 0.0679 0.7225 0.7225
Ga 0.1288 0.6102 0.1288
Ga 0.7225 0.0679 0.7225
Co 0.5000 0.0000 0.0000
Co 0.0000 0.5000 0.0000
Co 0.0000 0.0000 0.5000

2.
The following is a PBE calculation of an optimized crystal structure of Ba2Pd2Au, from the Alexandria database.

calculated formation energy: -0.51 eV per atom
uncorrected energy: -4.02 eV/atom
energy above the lowest structure with this stoichiometry: 43 kJ/mol of formula units
symmetry: P4/mbm (127)
total moment: 0.000 μB/atom
DOS at the Fermi energy: 0.54 states/eV/atom

Unit cell a=7.9632 b=7.9632 c=4.4269 alpha=90.00 beta=90.00 gamma=90.00
Fractional coordinates of all 10 atoms:
Au 0.0000 0.0000 0.0000
Au 0.5000 0.5000 0.0000
Ba 0.1818 0.6818 0.5000
Ba 0.6818 0.8182 0.5000
Ba 0.8182 0.3182 0.5000
Ba 0.3182 0.1818 0.5000
Pd 0.3779 0.8779 0.0000
Pd 0.8779 0.6221 0.0000
Pd 0.6221 0.1221 0.0000
Pd 0.1221 0.3779 0.0000

3.
The following is a PBE calculation of an optimized crystal structure of Pm3Ho4Ag4, from the Alexandria database.

calculated formation energy: -0.12 eV per atom
uncorrected energy: -4.12 eV/atom
symmetry: Immm (71)
total moment: 0.000 μB/atom
DOS at the Fermi energy: 0.94 states/eV/atom

Unit cell a=5.0307 b=7.6240 c=9.1521 alpha=114.61 beta=105.95 gamma=90.00
Fractional coordinates of all 11 atoms:
Pm 0.1059 0.1059 0.2119
Pm 0.8941 0.8941 0.7881
Pm 0.0000 0.5000 0.0000
Ho 0.3249 0.1059 0.6498
Ho 0.6751 0.4561 0.3502
Ho 0.6751 0.8941 0.3502
Ho 0.3249 0.5439 0.6498
Ag 0.2005 0.7005 0.4010
Ag 0.7995 0.2995 0.5990
Ag 0.5000 0.8134 0.0000
Ag 0.5000 0.1866 0.0000

4.
The following is a PBE calculation of an optimized crystal structure of LiEr2Ge4Pt3, from the Alexandria database.

calculated formation energy: -0.82 eV per atom
uncorrected energy: -5.59 eV/atom
symmetry: P-4m2 (115)
total moment: 0.000 μB/atom
DOS at the Fermi energy: 0.45 states/eV/atom

Unit cell a=4.0955 b=4.0955 c=10.9434 alpha=90.00 beta=90.00 gamma=90.00
Fractional coordinates of all 10 atoms:
Li 0.5000 0.5000 0.5000
Er 0.5000 0.0000 0.2623
Er 0.0000 0.5000 0.7377
Ge 0.5000 0.5000 0.0000
Ge 0.0000 0.0000 0.0000
Ge 0.5000 0.0000 0.6352
Ge 0.0000 0.5000 0.3648
Pt 0.0000 0.0000 0.5000
Pt 0.5000 0.0000 0.8593
Pt 0.0000 0.5000 0.1407

5.
The following is a PBE calculation of an optimized crystal structure of DyHoIrO6, from the Alexandria database.

formation energy (no corrections): -19.89 eV per formula unit
uncorrected energy: -7.52 eV/atom
symmetry: P-31c (163)
total moment: 0.310 μB/atom
DOS at the Fermi energy: 0.41 states/eV/atom

Unit cell a=5.4822 b=5.4822 c=9.4778 alpha=90.00 beta=90.00 gamma=120.00
Each line ends with the local moment (μB).
Fractional coordinates of all 18 atoms:
Dy 0.3333 0.6667 0.2500  0.05
Dy 0.6667 0.3333 0.7500  0.05
Ho 0.0000 0.0000 0.0000  0.05
Ho 0.0000 0.0000 0.5000  0.05
Ir 0.6667 0.3333 0.2500  1.37
Ir 0.3333 0.6667 0.7500  1.37
O 0.6747 0.6328 0.1334  0.18
O 0.9581 0.3252 0.1334  0.18
O 0.3253 0.9581 0.6334  0.18
O 0.0419 0.6748 0.8666  0.18
O 0.3672 0.3252 0.3666  0.18
O 0.9581 0.6328 0.3666  0.18
O 0.6328 0.9581 0.8666  0.18
O 0.6747 0.0419 0.3666  0.18
O 0.0419 0.3672 0.6334  0.18
O 0.3672 0.0419 0.1334  0.18
O 0.6328 0.6748 0.6334  0.18
O 0.3253 0.3672 0.8666  0.18